First-principles (PBE) data for crystalline Tm4GaPt2 at its relaxed geometry, as listed in Alexandria.

Cell: 4.851 4.851 8.484 Å, 73.39 73.39 60.00°
Element x y z (fractional)
Tm 0.873 0.873 0.382
Tm 0.127 0.127 0.618
Tm 0.621 0.621 0.137
Tm 0.379 0.379 0.863
Pt 0.752 0.752 0.743
Pt 0.248 0.248 0.257
Ga 0.000 0.000 0.000

Formation enthalpy at 0 K   -90.5 kJ/mol of atoms
Fermi-level density of states   0.4621 states/eV per atom
Space group   R-3m
Total magnetic moment   0.0 μB/f.u.
E   -5.652 eV/atom


First-principles (PBE) data for crystalline ReTcPb2 at its relaxed geometry, as listed in Alexandria.

Cell: 4.759 4.759 5.583 Å, 78.80 78.80 39.34°
Element x y z (fractional)
Pb 0.999 0.999 0.001
Pb 0.501 0.501 0.499
Re 0.750 0.750 0.750
Tc 0.250 0.250 0.250

Formation enthalpy at 0 K   102.3 kJ/mol of atoms
Fermi-level density of states   1.1478 states/eV per atom
Space group   C2/m
Total magnetic moment   1.2 μB/f.u.
E   -6.498 eV/atom


First-principles (PBE) data for crystalline AsBr3O at its relaxed geometry, as listed in Alexandria.

Cell: 5.230 5.230 5.230 Å, 90.00 90.00 90.00°
Element x y z (fractional)
As 0.000 0.000 0.000
O 0.500 0.500 0.500
Br 0.000 0.500 0.000
Br 0.000 0.000 0.500
Br 0.500 0.000 0.000

Formation energy without anion corrections   330 kJ/mol of formula units
Fermi-level density of states   5.9826 states/eV per atom
Space group   Pm-3m
Total magnetic moment   0.0 μB/f.u.
E   -2.241 eV/atom


First-principles (PBE) data for crystalline TiAlIrPd at its relaxed geometry, as listed in Alexandria.

Cell: 4.070 4.070 4.586 Å, 116.34 116.34 90.00°
Element x y z (fractional)
Ti 0.000 0.000 0.000
Al 0.500 0.500 0.000
Ir 0.250 0.750 0.500
Pd 0.750 0.250 0.500

Formation enthalpy at 0 K   -82.1 kJ/mol of atoms
Fermi-level density of states   0.4976 states/eV per atom
Space group   I-4m2
Total magnetic moment   0.0 μB/f.u.
E   -7.274 eV/atom


First-principles (PBE) data for crystalline Fe2IrBr2 at its relaxed geometry, as listed in Alexandria.

Cell: 3.803 3.803 6.216 Å, 72.19 72.19 90.00°
Element x y z (fractional)
Ir 0.000 0.000 0.000
Fe 0.750 0.250 0.500
Fe 0.250 0.750 0.500
Br 0.370 0.370 0.260
Br 0.630 0.630 0.740

Formation energy without anion corrections   645 kJ/mol of formula units
Fermi-level density of states   1.5392 states/eV per atom
Space group   I4/mmm
Total magnetic moment   0.0 μB/f.u.
E   -4.489 eV/atom


First-principles (PBE) data for crystalline NaSr2F6 at its relaxed geometry, as listed in Alexandria.

Cell: 4.235 5.398 7.242 Å, 111.88 107.00 90.00°
Element x y z (fractional)
Na 0.000 0.000 0.000
Sr 0.336 0.336 0.672
Sr 0.664 0.664 0.328
F 0.831 0.081 0.663
F 0.169 0.418 0.337
F 0.169 0.919 0.337
F 0.500 0.246 0.000
F 0.831 0.582 0.663
F 0.500 0.754 0.000

Formation energy without anion corrections   -2776 kJ/mol of formula units
Fermi-level density of states   0.4554 states/eV per atom
Space group   Immm
Total magnetic moment   1.0 μB/f.u.
E   -4.964 eV/atom